[1]
# CoPbSe

CoPbSe at its PBEsol-relaxed geometry (meta-GGA SCAN, Alexandria via LeMat-Bulk).

Cell and atoms, written as POSCAR:
```
CoPbSe
1.0
3.7413 0.0000 0.0000
-1.8707 3.2401 0.0000
0.0000 0.0000 5.1901
Co Pb Se
1 1 1
direct
0.0000 0.0000 0.0846
0.3333 0.6667 0.7244
0.6667 0.3333 0.1911
```

Summary:
Total moment = 0.00 μB/f.u.
Energy relative to the lowest polymorph listed for this composition = 0.000 eV per atom

[2]
# CoPbSe

CoPbSe at its PBEsol-relaxed geometry (meta-GGA SCAN, Alexandria via LeMat-Bulk).

Cell and atoms, written as POSCAR:
```
CoPbSe
1.0
-2.5455 -3.5069 0.3686
1.6004 -3.6828 1.6702
-1.2905 -1.3470 3.9286
Co Pb Se
1 1 1
direct
0.7500 0.7500 0.7500
0.0000 0.0000 0.0000
0.5000 0.5000 0.5000
```

Summary:
Total moment = 1.07 μB/f.u.
Energy relative to the lowest polymorph listed for this composition = 0.197 eV per atom

[3]
# CoSiPb2

CoSiPb2 at its PBEsol-relaxed geometry (meta-GGA SCAN, Alexandria via LeMat-Bulk).

Cell and atoms, written as POSCAR:
```
CoSiPb2
1.0
3.8723 0.0000 0.0000
-1.9362 3.3550 -0.0371
0.0000 -2.1588 6.6589
Co Pb Si
1 2 1
direct
0.7917 0.5834 0.3751
0.0302 0.0604 0.0896
0.2197 0.4393 0.6601
0.4584 0.9169 0.3752
```

Summary:
Total moment = 0.00 μB/f.u.
Calculated total energy = -44.6526 eV per atom

[4]
# CoSiTePb2

CoSiTePb2 at its PBEsol-relaxed geometry (meta-GGA SCAN, Alexandria via LeMat-Bulk).

Cell and atoms, written as POSCAR:
```
CoSiTePb2
1.0
-0.7518 -1.0120 -4.1214
0.2247 -5.3125 1.2634
-5.3768 0.0055 0.9795
Pb Si Te Co
2 1 1 1
direct
0.0000 0.0000 0.5000
0.0000 0.5000 0.0000
0.0000 0.0000 0.0000
0.5000 0.5000 0.5000
0.5000 0.0000 0.0000
```

Summary:
Total moment = 1.85 μB/f.u.
Calculated total energy = -42.7913 eV per atom

[5]
# Sm12Co6Pb

Sm12Co6Pb at its PBEsol-relaxed geometry (meta-GGA SCAN, Alexandria via LeMat-Bulk).

Cell and atoms, written as POSCAR:
```
Sm12Co6Pb
1.0
8.4137 0.0000 0.0000
-2.8046 7.9325 0.0000
-2.8046 -3.9663 6.8698
Sm Co Pb
12 6 1
direct
0.1940 0.6946 0.8886
0.8060 0.3054 0.1114
0.8060 0.6946 0.5006
0.1940 0.3054 0.4994
0.3054 0.1114 0.8060
0.6946 0.8886 0.1940
0.3054 0.4994 0.1940
0.6946 0.5006 0.8060
0.4994 0.1940 0.3054
0.5006 0.8060 0.6946
0.8886 0.1940 0.6946
0.1114 0.8060 0.3054
0.1119 0.6119 0.5000
0.8881 0.3881 0.5000
0.6119 0.5000 0.1119
0.3881 0.5000 0.8881
0.5000 0.8881 0.3881
0.5000 0.1119 0.6119
0.0000 0.0000 0.0000
```

Summary:
Total moment = 0.00 μB/f.u.
Formation enthalpy at 0 K = -0.166 eV per atom

[6]
# Sr2CoPb

Sr2CoPb at its PBEsol-relaxed geometry (meta-GGA SCAN, Alexandria via LeMat-Bulk).

Cell and atoms, written as POSCAR:
```
Sr2CoPb
1.0
-0.6389 -2.7450 -2.7996
5.2629 -1.1247 -0.0982
-0.7358 -3.7224 3.8177
Co Pb Sr
1 1 2
direct
0.5000 0.0000 0.0000
0.5000 0.5000 0.5000
0.0000 0.0000 0.5000
0.0000 0.5000 0.0000
```

Summary:
Total moment = 1.75 μB/f.u.
Formation enthalpy at 0 K = -0.166 eV per atom

[7]
# SrCo3Pb

SrCo3Pb at its PBEsol-relaxed geometry (meta-GGA SCAN, Alexandria via LeMat-Bulk).

Cell and atoms, written as POSCAR:
```
SrCo3Pb
1.0
4.6724 0.0000 0.0000
0.0000 4.6724 0.0000
0.0000 0.0000 4.6724
Pb Sr Co
1 1 3
direct
0.5000 0.5000 0.5000
0.0000 0.0000 0.0000
0.0000 0.5000 0.0000
0.0000 0.0000 0.5000
0.5000 0.0000 0.0000
```

Summary:
Total moment = 4.65 μB/f.u.
Formation enthalpy at 0 K = 1.960 eV per atom
Energy relative to the lowest polymorph listed for this composition = 1.027 eV per atom

[8]
# SrCo3Pb

SrCo3Pb at its PBEsol-relaxed geometry (meta-GGA SCAN, Alexandria via LeMat-Bulk).

Cell and atoms, written as POSCAR:
```
SrCo3Pb
1.0
-0.8896 -3.0686 3.6422
4.2595 1.1448 2.0049
-2.1305 3.5702 2.4876
Pb Sr Co
1 1 3
direct
0.0000 0.0000 0.0000
0.5000 0.5000 0.5000
0.0000 0.5000 0.0000
0.0000 0.0000 0.5000
0.5000 0.0000 0.0000
```

Summary:
Total moment = 4.99 μB/f.u.
Formation enthalpy at 0 K = 0.932 eV per atom
Energy relative to the lowest polymorph listed for this composition = 0.000 eV per atom

[9]
# TaCoPb2

TaCoPb2 at its PBEsol-relaxed geometry (meta-GGA SCAN, Alexandria via LeMat-Bulk).

Cell and atoms, written as POSCAR:
```
TaCoPb2
1.0
-1.8375 -2.9730 -1.9788
-0.7448 -1.8574 3.4822
-2.8285 4.7271 -0.3997
Co Pb Ta
1 2 1
direct
0.2500 0.7500 0.5000
0.0000 0.0000 0.0000
0.7500 0.2500 0.5000
0.5000 0.5000 0.0000
```

Summary:
Total moment = 1.99 μB/f.u.
Formation enthalpy at 0 K = 0.654 eV per atom
Energy relative to the lowest polymorph listed for this composition = 0.000 eV per atom

[10]
# Ta4CoPb

Ta4CoPb at its PBEsol-relaxed geometry (meta-GGA SCAN, Alexandria via LeMat-Bulk).

Cell and atoms, written as POSCAR:
```
Ta4CoPb
1.0
-3.9302 0.6976 3.6321
-5.1680 -0.2644 -1.5319
-3.0516 -4.1867 1.5114
Co Pb Ta
1 1 4
direct
0.7500 0.7500 0.7500
0.0000 0.0000 0.0000
0.3749 0.3749 0.3749
0.3749 0.3749 0.8753
0.8753 0.3749 0.3749
0.3749 0.8753 0.3749
```

Summary:
Total moment = 1.47 μB/f.u.
Formation enthalpy at 0 K = 0.686 eV per atom

[11]
# TaCoPb2

TaCoPb2 at its PBEsol-relaxed geometry (meta-GGA SCAN, Alexandria via LeMat-Bulk).

Cell and atoms, written as POSCAR:
```
TaCoPb2
1.0
-1.5763 2.5774 -0.8759
-4.2569 -1.6945 2.6749
4.3927 1.7384 2.8588
Co Pb Ta
1 2 1
direct
0.5000 0.0000 0.0000
0.2203 0.2204 0.4405
0.7797 0.7796 0.5595
0.0000 0.5000 0.0000
```

Summary:
Total moment = 1.67 μB/f.u.
Formation enthalpy at 0 K = 0.777 eV per atom
Energy relative to the lowest polymorph listed for this composition = 0.122 eV per atom

[12]
# TaCoPb2

TaCoPb2 at its PBEsol-relaxed geometry (meta-GGA SCAN, Alexandria via LeMat-Bulk).

Cell and atoms, written as POSCAR:
```
TaCoPb2
1.0
-0.9903 -2.3527 1.7867
2.3148 -1.1675 -1.7282
5.3630 2.1135 5.7556
Co Pb Ta
1 2 1
direct
0.5000 0.5000 0.0000
0.0000 0.0000 0.2216
0.0000 0.0000 0.7784
0.5000 0.5000 0.5000
```

Summary:
Total moment = 1.19 μB/f.u.
Formation enthalpy at 0 K = 0.694 eV per atom
Energy relative to the lowest polymorph listed for this composition = 0.040 eV per atom

[13]
# CoTcPb2

CoTcPb2 at its PBEsol-relaxed geometry (meta-GGA SCAN, Alexandria via LeMat-Bulk).

Cell and atoms, written as POSCAR:
```
CoTcPb2
1.0
3.2302 0.0000 0.0000
-1.6151 4.1799 0.0075
0.0000 -1.3740 5.3683
Co Pb Tc
1 2 1
direct
0.5000 0.0000 0.0000
0.7560 0.5121 0.7589
0.2440 0.4879 0.2411
0.0000 0.0000 0.5000
```

Summary:
Total moment = 2.27 μB/f.u.
Formation enthalpy at 0 K = 0.791 eV per atom
Energy relative to the lowest polymorph listed for this composition = 0.042 eV per atom

[14]
# CoTcPb2

CoTcPb2 at its PBEsol-relaxed geometry (meta-GGA SCAN, Alexandria via LeMat-Bulk).

Cell and atoms, written as POSCAR:
```
CoTcPb2
1.0
3.3103 0.0000 0.0000
0.0000 4.5768 0.0000
0.0000 0.0000 4.5768
Co Pb Tc
1 2 1
direct
0.5000 0.0000 0.0000
0.0000 0.0000 0.5000
0.0000 0.5000 0.0000
0.5000 0.5000 0.5000
```

Summary:
Total moment = 0.67 μB/f.u.
Formation enthalpy at 0 K = 0.749 eV per atom
Energy relative to the lowest polymorph listed for this composition = 0.000 eV per atom

[15]
# CoTc2Pb

CoTc2Pb at its PBEsol-relaxed geometry (meta-GGA SCAN, Alexandria via LeMat-Bulk).

Cell and atoms, written as POSCAR:
```
CoTc2Pb
1.0
3.7916 0.0000 0.0000
0.0000 3.7817 0.0000
-1.8958 -1.8909 4.1375
Co Pb Tc
1 1 2
direct
0.5000 0.0000 0.0000
0.0000 0.5000 0.0000
0.7499 0.7499 0.4998
0.2501 0.2501 0.5002
```

Summary:
Total moment = 0.84 μB/f.u.
Formation enthalpy at 0 K = 0.660 eV per atom

[16]
# CoTc2Pb

CoTc2Pb at its PBEsol-relaxed geometry (meta-GGA SCAN, Alexandria via LeMat-Bulk).

Cell and atoms, written as POSCAR:
```
CoTc2Pb
1.0
-1.0216 0.8893 -2.6821
2.3524 -1.3125 -1.3311
-3.5819 -5.8399 -0.5720
Co Pb Tc
1 1 2
direct
0.0000 0.0000 0.4685
0.5000 0.5000 0.7320
0.0000 0.0000 0.0458
0.5000 0.5000 0.2537
```

Summary:
Total moment = 2.11 μB/f.u.
Formation enthalpy at 0 K = 0.403 eV per atom

[17]
# CoTe2Pb

CoTe2Pb at its PBEsol-relaxed geometry (meta-GGA SCAN, Alexandria via LeMat-Bulk).

Cell and atoms, written as POSCAR:
```
CoTe2Pb
1.0
-0.2643 0.5392 3.2275
0.0351 -3.2374 0.5437
8.3710 0.2002 0.6520
Co Pb Te
1 1 2
direct
0.5000 0.5000 0.0000
0.5000 0.5000 0.5000
0.0000 0.0000 0.8200
0.0000 0.0000 0.1800
```

Summary:
Total moment = 1.48 μB/f.u.
Calculated total energy = -41.6121 eV per atom

[18]
# CoTe2Pb

CoTe2Pb at its PBEsol-relaxed geometry (meta-GGA SCAN, Alexandria via LeMat-Bulk).

Cell and atoms, written as POSCAR:
```
CoTe2Pb
1.0
3.4924 0.0000 0.0000
0.0000 5.2341 0.0000
0.0000 0.0000 5.2341
Co Pb Te
1 1 2
direct
0.5000 0.5000 0.5000
0.5000 0.0000 0.0000
0.0000 0.0000 0.5000
0.0000 0.5000 0.0000
```

Summary:
Total moment = 2.22 μB/f.u.
Calculated total energy = -41.3749 eV per atom

[19]
# TiCoPb2

TiCoPb2 at its PBEsol-relaxed geometry (meta-GGA SCAN, Alexandria via LeMat-Bulk).

Cell and atoms, written as POSCAR:
```
TiCoPb2
1.0
-2.4042 -0.7575 -3.9926
2.3166 -0.8438 -4.0269
-0.0928 -4.3138 -1.9177
Pb Co Ti
2 1 1
direct
0.2500 0.2500 0.2500
0.7500 0.7500 0.7500
0.5000 0.5000 0.5000
0.0000 0.0000 0.0000
```

Summary:
Total moment = 2.61 μB/f.u.
Formation enthalpy at 0 K = 0.413 eV per atom

[20]
# YTiCo2Pb

YTiCo2Pb at its PBEsol-relaxed geometry (meta-GGA SCAN, Alexandria via LeMat-Bulk).

Cell and atoms, written as POSCAR:
```
YTiCo2Pb
1.0
-3.3133 -2.7643 -1.0372
-0.9273 -0.5059 4.3104
-3.5151 4.3072 -0.2507
Pb Y Co Ti
1 1 2 1
direct
0.0000 0.0000 0.5000
0.0000 0.0000 0.0000
0.0000 0.5000 0.0000
0.5000 0.0000 0.0000
0.5000 0.5000 0.5000
```

Summary:
Total moment = 3.58 μB/f.u.
Formation enthalpy at 0 K = 1.402 eV per atom